1.
Computed, not measured: an optimized crystal structure of BaSr4Zn at the PBE level of DFT.

Computed properties:
DFT total energy, eV/atom: -1.3322
Spin magnetization, μB per atom: 0.000

Cell lengths 7.8058, 7.8058, 7.8058 Å; angles 60.00, 60.00, 60.00 degrees
Last column: nearest neighbours and their distance in Å.
Fractional coordinates of all 6 atoms:
Ba1 0.0000 0.0000 0.0000  12 Sr 4.58, 4 Zn 4.78
Sr1 0.1252 0.6249 0.6249  6 Sr 3.90
Sr2 0.6249 0.1252 0.6249  6 Sr 3.90
Sr3 0.6249 0.6249 0.1252  6 Sr 3.90
Sr4 0.6249 0.6249 0.6249  6 Sr 3.90
Zn1 0.2500 0.2500 0.2500  12 Sr 4.58, 4 Ba 4.78

2.
Computed, not measured: an optimized crystal structure of CsPF2 at the PBE level of DFT.

Computed properties:
Raw formation energy, meV per atom: -1167
Spin magnetization, μB per atom: 0.000

Cell lengths 4.0220, 4.0220, 16.3469 Å; angles 90.00, 90.00, 120.00 degrees
Last column: nearest neighbours and their distance in Å.
Fractional coordinates of all 12 atoms:
Cs1 0.0000 0.0000 0.0000  8 F 3.13-3.28
Cs2 0.3333 0.6667 0.6667  8 F 3.13-3.28
Cs3 0.6667 0.3333 0.3333  8 F 3.13-3.28
P1 0.0000 0.0000 0.5000  6 F 2.36
P2 0.3333 0.6667 0.1667  6 F 2.36
P3 0.6667 0.3333 0.8333  6 F 2.36
F1 0.0000 0.0000 0.1918  3 P 2.36, 3 F 2.46
F2 0.0000 0.0000 0.8082  3 P 2.36, 3 F 2.46
F3 0.3333 0.6667 0.4749  3 P 2.36, 3 F 2.46
F4 0.3333 0.6667 0.8584  3 P 2.36, 3 F 2.46
F5 0.6667 0.3333 0.1416  3 P 2.36, 3 F 2.46
F6 0.6667 0.3333 0.5251  3 P 2.36, 3 F 2.46

3.
Computed, not measured: an optimized crystal structure of ScCdW3 at the PBE level of DFT.

Computed properties:
DFT total energy, eV/atom: -6.6433
Spin magnetization, μB per atom: 0.000

Cell lengths 4.8728, 4.8728, 4.8728 Å; angles 90.00, 90.00, 90.00 degrees
Last column: nearest neighbours and their distance in Å.
Fractional coordinates of all 5 atoms:
Sc1 0.0000 0.0000 0.0000  12 W 3.45
Cd1 0.5000 0.5000 0.5000  6 W 2.44
W1 0.0000 0.5000 0.5000  2 Cd 2.44
W2 0.5000 0.0000 0.5000  2 Cd 2.44
W3 0.5000 0.5000 0.0000  2 Cd 2.44

4.
Computed, not measured: an optimized crystal structure of Co5Ni5Rh2 at the PBE level of DFT.

Computed properties:
DFT total energy, eV/atom: -6.4758
Spin magnetization, μB per atom: 1.175

Cell lengths 6.1807, 6.1807, 6.8299 Å; angles 119.46, 119.46, 39.28 degrees
Last column: nearest neighbours and their distance in Å.
Fractional coordinates of all 12 atoms:
Co1 0.0000 0.0000 0.0000  4 Ni 2.43, 4 Co 2.44-2.53
Co2 0.0864 0.0864 0.4115  2 Co 2.44-2.53, 5 Ni 2.47-2.52, 2 Rh 2.57-2.58
Co3 0.2520 0.2520 0.2778  4 Ni 2.38-2.46, 2 Co 2.53, 3 Rh 2.55-2.60
Co4 0.7480 0.7480 0.7222  4 Ni 2.38-2.46, 2 Co 2.53, 3 Rh 2.55-2.60
Co5 0.9136 0.9136 0.5885  2 Co 2.44-2.53, 5 Ni 2.47-2.52, 2 Rh 2.57-2.58
Ni1 0.3328 0.3328 0.6785  2 Ni 2.33-2.46, 6 Co 2.38-2.49
Ni2 0.4325 0.4325 0.0971  4 Ni 2.33-2.53, 2 Co 2.43, 3 Rh 2.55-2.58
Ni3 0.5000 0.5000 0.5000  2 Ni 2.44, 6 Co 2.46-2.52
Ni4 0.5675 0.5675 0.9029  4 Ni 2.33-2.53, 2 Co 2.43, 3 Rh 2.55-2.58
Ni5 0.6672 0.6672 0.3215  2 Ni 2.33-2.46, 6 Co 2.38-2.49
Rh1 0.1731 0.1731 0.8439  4 Ni 2.55-2.63, 6 Co 2.55-2.73, 2 Rh 2.84
Rh2 0.8269 0.8269 0.1561  4 Ni 2.55-2.63, 6 Co 2.55-2.73, 2 Rh 2.84

5.
Computed, not measured: an optimized crystal structure of Rb2ReAgO6 at the PBE level of DFT.

Computed properties:
Raw formation energy, meV per atom: -1132
Spin magnetization, μB per atom: 0.200

Cell lengths 6.2979, 6.2979, 5.5899 Å; angles 90.00, 90.00, 120.00 degrees
Last column: nearest neighbours and their distance in Å.
Fractional coordinates of all 10 atoms:
Rb1 0.3333 0.6667 0.2866  9 O 3.13-3.16
Rb2 0.6667 0.3333 0.7134  9 O 3.13-3.16
Re1 0.0000 0.0000 0.5000  6 O 1.91
Ag1 0.0000 0.0000 0.0000  6 O 2.26
O1 0.1408 0.2817 0.7028  1 Re 1.91
O2 0.1408 0.8592 0.7028  1 Re 1.91
O3 0.2817 0.1408 0.2972  1 Re 1.91
O4 0.7183 0.8592 0.7028  1 Re 1.91
O5 0.8592 0.1408 0.2972  1 Re 1.91
O6 0.8592 0.7183 0.2972  1 Re 1.91

6.
Computed, not measured: an optimized crystal structure of K4Rb2Br3Cl2 at the PBE level of DFT.

Computed properties:
Raw formation energy, meV per atom: -1549
Spin magnetization, μB per atom: 0.000

Cell lengths 13.9955, 13.9955, 13.9955 Å; angles 155.39, 155.39, 35.08 degrees
Last column: nearest neighbours and their distance in Å.
Fractional coordinates of all 11 atoms:
K1 0.0835 0.5835 0.5000  2 Cl 2.99
K2 0.4165 0.9165 0.5000  2 Cl 2.99
K3 0.5835 0.0835 0.5000  2 Cl 2.99
K4 0.9165 0.4165 0.5000  2 Cl 2.99
Rb1 0.2164 0.2164 0.0000  1 Cl 3.29, 1 Br 3.45
Rb2 0.7836 0.7836 0.0000  1 Cl 3.29, 1 Br 3.45
Br1 0.3458 0.3458 0.0000  1 Rb 3.45, 4 K 3.53
Br2 0.5000 0.5000 0.0000  8 K 3.72, 2 Br 4.12
Br3 0.6542 0.6542 0.0000  1 Rb 3.45, 4 K 3.53
Cl1 0.0931 0.0931 0.0000  4 K 2.99, 1 Rb 3.29
Cl2 0.9069 0.9069 0.0000  4 K 2.99, 1 Rb 3.29

- Look up the spin magnetization of the fourth one.
  1.175 μB per atom

Please write out number 5 again, unchanged.
Computed, not measured: an optimized crystal structure of Rb2ReAgO6 at the PBE level of DFT.

Computed properties:
Raw formation energy, meV per atom: -1132
Spin magnetization, μB per atom: 0.200

Cell lengths 6.2979, 6.2979, 5.5899 Å; angles 90.00, 90.00, 120.00 degrees
Last column: nearest neighbours and their distance in Å.
Fractional coordinates of all 10 atoms:
Rb1 0.3333 0.6667 0.2866  9 O 3.13-3.16
Rb2 0.6667 0.3333 0.7134  9 O 3.13-3.16
Re1 0.0000 0.0000 0.5000  6 O 1.91
Ag1 0.0000 0.0000 0.0000  6 O 2.26
O1 0.1408 0.2817 0.7028  1 Re 1.91
O2 0.1408 0.8592 0.7028  1 Re 1.91
O3 0.2817 0.1408 0.2972  1 Re 1.91
O4 0.7183 0.8592 0.7028  1 Re 1.91
O5 0.8592 0.1408 0.2972  1 Re 1.91
O6 0.8592 0.7183 0.2972  1 Re 1.91